Record 1
The following is a GGA-PBE calculation of TcIr2Os after structural relaxation, from Alexandria via LeMat-Bulk.

Lattice parameters (Å, degrees): 9.0102 9.0102 9.0102 17.52 17.52 17.52
Last column: nearest neighbours and their distance in Å.
Fractional positions:
Ir 0.4998 0.4998 0.4998  3 Tc 2.72, 3 Os 2.73, 6 Ir 2.74
Ir 0.0002 0.0002 0.0002  3 Tc 2.72, 3 Os 2.73, 6 Ir 2.74
Os 0.2500 0.2500 0.2500  6 Ir 2.73, 6 Os 2.74
Tc 0.7500 0.7500 0.7500  6 Ir 2.72, 6 Tc 2.74

Total magnetization, μB/atom: 0.000
Uncorrected energy, eV per atom: -9.84
Space-group type: R-3m (166)

Record 2
The following is a GGA-PBE calculation of TcIr2Os after structural relaxation, from Alexandria via LeMat-Bulk.

Lattice parameters (Å, degrees): 3.9436 3.9446 6.7993 73.12 73.09 59.86
Last column: nearest neighbours and their distance in Å.
Fractional positions:
Ir 0.6122 0.0574 0.0607  3 Os 2.40, 1 Tc 2.41
Ir 0.1142 0.5591 0.5552  1 Os 2.41, 3 Tc 2.42
Os 0.2400 0.6852 0.1782  4 Ir 2.40-2.41
Tc 0.7380 0.1829 0.6844  4 Ir 2.41-2.42

Total magnetization, μB/atom: 0.000
Uncorrected energy, eV per atom: -8.81
Space-group type: Cm (8)

Record 3
The following is a GGA-PBE calculation of Tc3IrOs after structural relaxation, from Alexandria via LeMat-Bulk.

Lattice parameters (Å, degrees): 4.3631 4.7855 7.3065 71.05 90.00 90.00
Last column: nearest neighbours and their distance in Å.
Fractional positions:
Tc 0.6244 0.6115 0.0265  5 Tc 2.68-2.81, 3 Os 2.69-2.74, 4 Ir 2.71-2.80
Tc 0.6244 0.0179 0.2243  7 Tc 2.69-2.77, 4 Os 2.72-2.76, 1 Ir 2.78
Tc 0.1244 0.2846 0.0266  6 Tc 2.68-2.81, 4 Ir 2.72-2.79, 2 Os 2.72-2.79
Tc 0.6244 0.8138 0.6206  6 Tc 2.68-2.81, 4 Ir 2.72-2.79, 2 Os 2.72-2.79
Tc 0.1244 0.4869 0.6207  5 Tc 2.68-2.81, 3 Os 2.69-2.74, 4 Ir 2.71-2.80
Tc 0.1244 0.0805 0.4229  7 Tc 2.69-2.77, 4 Os 2.72-2.76, 1 Ir 2.78
Ir 0.6244 0.2173 0.8226  2 Ir 2.71, 9 Tc 2.71-2.80, 1 Os 2.77
Ir 0.1244 0.8811 0.8246  2 Ir 2.71, 9 Tc 2.71-2.80, 1 Os 2.77
Os 0.1244 0.6788 0.2247  2 Os 2.69, 9 Tc 2.69-2.79, 1 Ir 2.77
Os 0.6244 0.4197 0.4225  2 Os 2.69, 9 Tc 2.69-2.79, 1 Ir 2.77

Total magnetization, μB/atom: 0.000
Uncorrected energy, eV per atom: -10.40
Space-group type: P2_1/m (11)

Record 4
The following is a GGA-PBE calculation of TcIr2Os after structural relaxation, from Alexandria via LeMat-Bulk.

Lattice parameters (Å, degrees): 2.7302 2.7302 7.7606 90.00 90.00 90.00
Last column: nearest neighbours and their distance in Å.
Fractional positions:
Os 0.0000 0.0000 0.4991  4 Ir 2.70, 4 Os 2.73, 4 Tc 2.74
Ir 0.5000 0.5000 0.2552  4 Os 2.70, 8 Ir 2.73-2.79
Ir 0.0000 0.0000 0.9952  4 Tc 2.71, 8 Ir 2.73-2.79
Tc 0.5000 0.5000 0.7505  4 Ir 2.71, 4 Tc 2.73, 4 Os 2.74

Total magnetization, μB/atom: 0.000
Uncorrected energy, eV per atom: -9.88
Space-group type: P4mm (99)

Record 5
The following is a GGA-PBE calculation of TcIr2Os after structural relaxation, from Alexandria via LeMat-Bulk.

Lattice parameters (Å, degrees): 4.3759 2.7440 4.7945 90.00 90.00 90.00
Last column: nearest neighbours and their distance in Å.
Fractional positions:
Tc 0.5000 0.6250 0.7884  2 Os 2.70, 8 Ir 2.71-2.78, 2 Tc 2.74
Ir 0.0000 0.1249 0.9593  4 Tc 2.71, 4 Ir 2.71-2.74, 4 Os 2.76
Ir 0.5000 0.1251 0.2930  4 Os 2.70, 4 Ir 2.71-2.74, 4 Tc 2.74-2.78
Os 0.0000 0.6250 0.4593  2 Tc 2.70, 8 Ir 2.70-2.76, 2 Os 2.74

Total magnetization, μB/atom: 0.000
Uncorrected energy, eV per atom: -9.97
Space-group type: Pmm2 (25)

Record 6
The following is a GGA-PBE calculation of Tc2Ir6Os after structural relaxation, from Alexandria via LeMat-Bulk.

Lattice parameters (Å, degrees): 5.2648 5.2648 6.9074 67.60 67.60 60.00
Last column: nearest neighbours and their distance in Å.
Fractional positions:
Ir 0.7846 0.2691 0.6774  1 Os 2.50, 6 Ir 2.55-2.71, 2 Tc 2.79
Ir 0.0540 0.5720 0.3203  6 Ir 2.54-2.73, 1 Os 2.58, 2 Tc 2.75
Ir 0.2689 0.7846 0.6774  1 Os 2.50, 6 Ir 2.55-2.71, 2 Tc 2.79
Ir 0.0537 0.0540 0.3203  6 Ir 2.54-2.73, 1 Os 2.58, 2 Tc 2.75
Ir 0.2691 0.2689 0.6774  1 Os 2.50, 6 Ir 2.55-2.71, 2 Tc 2.79
Ir 0.5720 0.0537 0.3203  6 Ir 2.54-2.73, 1 Os 2.58, 2 Tc 2.75
Tc 0.7246 0.7246 0.8262  1 Tc 2.27
Tc 0.6027 0.6027 0.1919  1 Tc 2.27
Os 0.3361 0.3361 0.9918  6 Ir 2.50-2.58

Total magnetization, μB/atom: 0.000
Uncorrected energy, eV per atom: -9.10
Space-group type: R3m (160)

The evaluated E above lowest polymorph for the records listed, in turn: 129 1163 0 91 0 464 meV/atom.